The following is a DFT calculation (PBE) of a relaxed RbBaSb2 crystal.

Results
E = -3.064 eV/atom
crystal system = tetragonal
energy relative to the elements, uncorrected = -0.28 eV/atom
energy relative to the lowest polymorph listed for this composition = 244 meV per atom

Lattice parameters (Å, degrees): 5.913 5.913 23.241 90.00 90.00 90.00
Fractional positions:
Rb (0.000, 0.000, 0.000)
Rb (0.000, 0.500, 0.250)
Rb (0.500, 0.000, 0.750)
Rb (0.500, 0.500, 0.500)
Ba (0.000, 0.000, 0.500)
Ba (0.000, 0.500, 0.750)
Ba (0.500, 0.000, 0.250)
Ba (0.500, 0.500, 0.000)
Sb (0.120, 0.250, 0.625)
Sb (0.250, 0.620, 0.875)
Sb (0.250, 0.880, 0.375)
Sb (0.380, 0.250, 0.125)
Sb (0.620, 0.750, 0.125)
Sb (0.750, 0.120, 0.375)
Sb (0.750, 0.380, 0.875)
Sb (0.880, 0.750, 0.625)